# 1
# HfAl2Tl

Crystalline HfAl2Tl at its relaxed geometry (PBE, the Alexandria database).

## Properties
N(E_F): 2.4 states/eV/f.u.
V: 21.80 A^3/atom
SG: No. 122
formation enthalpy at 0 K: 0.336 eV per atom

```
HfAl2Tl
1.0
7.705 0.000 0.000
0.000 7.705 0.000
0.000 0.000 5.875
Hf Al Tl
4 8 4
Direct
0.000 0.000 0.000
0.000 0.500 0.250
0.500 0.000 0.750
0.500 0.500 0.500
0.239 0.750 0.625
0.250 0.239 0.375
0.250 0.261 0.875
0.261 0.750 0.125
0.739 0.250 0.125
0.750 0.739 0.875
0.750 0.761 0.375
0.761 0.250 0.625
0.000 0.000 0.500
0.000 0.500 0.750
0.500 0.000 0.250
0.500 0.500 0.000
```

# 2
# MgSc2Ag

Crystalline MgSc2Ag at its relaxed geometry (PBE, the Alexandria database).

## Properties
N(E_F): 3.7 states/eV/f.u.
V: 21.61 A^3/atom
SG: No. 99
formation enthalpy at 0 K: -0.130 eV per atom

```
MgSc2Ag
1.0
3.498 0.000 0.000
0.000 3.498 0.000
0.000 0.000 7.064
Mg Sc Ag
1 2 1
Direct
0.000 0.000 0.000
0.000 0.000 0.547
0.500 0.500 0.270
0.500 0.500 0.783
```

# 3
# ZrPb2Br

Crystalline ZrPb2Br at its relaxed geometry (PBE, the Alexandria database).

## Properties
N(E_F): 1.2 states/eV/f.u.
uncorrected formation energy: -0.100 eV/atom
V: 26.81 A^3/atom
SG: No. 123

```
ZrPb2Br
1.0
5.697 0.000 0.000
0.000 5.697 0.000
0.000 0.000 3.304
Zr Pb Br
1 2 1
Direct
0.000 0.000 0.000
0.000 0.500 0.500
0.500 0.000 0.500
0.500 0.500 0.000
```

# 4
# Sr5Mg

Crystalline Sr5Mg at its relaxed geometry (PBE, the Alexandria database).

## Properties
N(E_F): 3.3 states/eV/f.u.
V: 48.40 A^3/atom
SG: No. 189
formation enthalpy at 0 K: 0.038 eV per atom

```
Sr5Mg
1.0
7.104 0.000 0.000
-3.552 6.152 0.000
0.000 0.000 6.644
Sr Mg
5 1
Direct
0.000 0.681 0.000
0.319 0.319 0.000
0.333 0.667 0.500
0.667 0.333 0.500
0.681 0.000 0.000
0.000 0.000 0.500
```

# 5
# Pr8NdDy2

Crystalline Pr8NdDy2 at its relaxed geometry (PBE, the Alexandria database).

## Properties
N(E_F): 18.3 states/eV/f.u.
V: 35.74 A^3/atom
SG: No. 12
formation enthalpy at 0 K: 0.160 eV per atom

```
Pr8NdDy2
1.0
8.581 -3.432 0.000
8.581 3.432 0.000
-1.153 0.000 6.674
Pr Nd Dy
8 1 2
Direct
0.095 0.095 0.916
0.151 0.674 0.590
0.255 0.255 0.680
0.326 0.849 0.410
0.674 0.151 0.590
0.745 0.745 0.320
0.849 0.326 0.410
0.905 0.905 0.084
0.500 0.500 0.000
0.301 0.301 0.191
0.699 0.699 0.809
```

# 6
# TcNiBi2B

Crystalline TcNiBi2B at its relaxed geometry (PBE, the Alexandria database).

## Properties
N(E_F): 5.2 states/eV/f.u.
V: 19.27 A^3/atom
SG: No. 123
formation enthalpy at 0 K: 0.884 eV per atom

```
TcNiBi2B
1.0
5.057 0.000 0.000
0.000 5.057 0.000
0.000 0.000 3.767
Tc Ni Bi B
1 1 2 1
Direct
0.000 0.000 0.000
0.500 0.500 0.000
0.000 0.500 0.500
0.500 0.000 0.500
0.500 0.500 0.500
```

# 7
# SmTm5

Crystalline SmTm5 at its relaxed geometry (PBE, the Alexandria database).

## Properties
N(E_F): 8.0 states/eV/f.u.
V: 30.54 A^3/atom
SG: No. 12
formation enthalpy at 0 K: 0.025 eV per atom

```
SmTm5
1.0
6.084 0.000 0.000
0.000 10.505 0.000
-2.025 0.000 5.735
Sm Tm
2 10
Direct
0.000 0.000 0.000
0.500 0.500 0.000
0.000 0.167 0.500
0.000 0.333 0.000
0.000 0.500 0.500
0.000 0.667 0.000
0.000 0.833 0.500
0.500 0.000 0.500
0.500 0.167 0.000
0.500 0.333 0.500
0.500 0.667 0.500
0.500 0.833 0.000
```

# 8
# HfZrCuW

Crystalline HfZrCuW at its relaxed geometry (PBE, the Alexandria database).

## Properties
N(E_F): 1.6 states/eV/f.u.
V: 18.04 A^3/atom
SG: No. 216
formation enthalpy at 0 K: -0.005 eV per atom

```
HfZrCuW
1.0
6.609 0.000 0.000
0.000 6.609 0.000
0.000 0.000 6.609
Hf Zr Cu W
4 4 4 4
Direct
0.000 0.000 0.000
0.000 0.500 0.500
0.500 0.000 0.500
0.500 0.500 0.000
0.000 0.000 0.500
0.000 0.500 0.000
0.500 0.000 0.000
0.500 0.500 0.500
0.250 0.250 0.750
0.250 0.750 0.250
0.750 0.250 0.250
0.750 0.750 0.750
0.250 0.250 0.250
0.250 0.750 0.750
0.750 0.250 0.750
0.750 0.750 0.250
```

# 9
# IrAuI2N

Crystalline IrAuI2N at its relaxed geometry (PBE, the Alexandria database).

## Properties
N(E_F): 2.8 states/eV/f.u.
uncorrected formation energy: 0.561 eV/atom
V: 23.71 A^3/atom
SG: No. 123

```
IrAuI2N
1.0
5.659 0.000 0.000
0.000 5.659 0.000
0.000 0.000 3.703
Ir Au I N
1 1 2 1
Direct
0.000 0.000 0.000
0.500 0.500 0.500
0.000 0.500 0.000
0.500 0.000 0.000
0.000 0.000 0.500
```

# 10
# FeCu3

Crystalline FeCu3 at its relaxed geometry (PBE, the Alexandria database).

## Properties
N(E_F): 3.8 states/eV/f.u.
V: 12.00 A^3/atom
SG: No. 65
formation enthalpy at 0 K: 0.143 eV per atom

```
FeCu3
1.0
5.247 0.000 0.000
0.000 7.271 0.000
0.000 0.000 2.515
Fe Cu
2 6
Direct
0.000 0.000 0.000
0.500 0.500 0.000
0.000 0.500 0.000
0.250 0.250 0.500
0.250 0.750 0.500
0.500 0.000 0.000
0.750 0.250 0.500
0.750 0.750 0.500
```

# 11
# AcPuCu2

Crystalline AcPuCu2 at its relaxed geometry (PBE, the Alexandria database).

## Properties
N(E_F): 14.3 states/eV/f.u.
V: 24.60 A^3/atom
SG: No. 166
formation enthalpy at 0 K: 0.123 eV per atom

```
AcPuCu2
1.0
4.710 0.000 0.000
-2.355 4.079 0.000
0.000 0.000 15.365
Ac Pu Cu
3 3 6
Direct
0.000 0.000 0.000
0.333 0.667 0.667
0.667 0.333 0.333
0.000 0.000 0.500
0.333 0.667 0.167
0.667 0.333 0.833
0.000 0.000 0.214
0.000 0.000 0.786
0.333 0.667 0.452
0.333 0.667 0.881
0.667 0.333 0.119
0.667 0.333 0.548
```